Entry 1:
# Pu2TeS

Crystalline Pu2TeS at its relaxed geometry (PBE, Alexandria via LeMat-Bulk).

Lattice parameters (Å, degrees): 4.1542 4.1542 14.2136 90.00 90.00 120.00
Closest atoms and distances in Å follow each position.
Space group P6_3/mmc (No. 194)
Unique sites:
1 Pu 0.3333 0.6667 0.1055 [4 per cell]  3 S 2.83, 3 Te 3.16
2 Te 0.3333 0.6667 0.7500 [2 per cell]  6 Pu 3.16
3 S 0.0000 0.0000 0.0000 [2 per cell]  6 Pu 2.83

Values from the calculation:
Formation energy from raw total energies = -1.37 eV/atom
Density of states at the Fermi level = 34.67 states/eV/cell
Size of the total moment = 11.74 μB/f.u.
E = -10.358 eV/atom
Energy above the lowest structure with this stoichiometry = 21.6 meV per atom



Entry 2:
# FeSb3P

Crystalline FeSb3P at its relaxed geometry (PBE, Alexandria via LeMat-Bulk).

Lattice parameters (Å, degrees): 5.0968 5.0968 5.0968 90.00 90.00 90.00
Closest atoms and distances in Å follow each position.
Space group Pm-3m (No. 221)
Unique sites:
1 Fe 0.0000 0.0000 0.0000 [1 per cell]  12 Sb 3.60
2 Sb 0.0000 0.5000 0.5000 [3 per cell]  2 P 2.55
3 P 0.5000 0.5000 0.5000 [1 per cell]  6 Sb 2.55

Values from the calculation:
Formation energy from raw total energies = 1.28 eV/atom
Density of states at the Fermi level = 7.96 states/eV/cell
Size of the total moment = 0.13 μB/f.u.
E = -3.967 eV/atom
Energy above the lowest structure with this stoichiometry = 718.0 meV per atom



Entry 3:
# Mg8In6Hg

Crystalline Mg8In6Hg at its relaxed geometry (PBE, Alexandria via LeMat-Bulk).

Lattice parameters (Å, degrees): 8.4866 8.4866 17.6390 90.00 90.00 120.00
Closest atoms and distances in Å follow each position.
Space group R-3 (No. 148, hexagonal axes)
Unique sites:
1 Mg 0.0000 0.0000 0.2414 [6 per cell]  6 In 3.16-3.24, 6 Mg 3.23-3.36
2 Mg 0.0249 0.7747 0.3937 [18 per cell]  1 Hg 2.76, 1 Mg 2.99, 1 In 3.00
3 In 0.0394 0.7917 0.9051 [18 per cell]  6 Mg 3.00-3.34, 1 In 3.17
4 Hg 0.0000 0.0000 0.5000 [3 per cell]  6 Mg 2.76

Values from the calculation:
Formation energy = -0.61 eV/f.u.
Density of states at the Fermi level = 8.75 states/eV/cell
Size of the total moment = 0.00 μB/f.u.
E = -2.006 eV/atom



Entry 4:
# CsSrBi

Crystalline CsSrBi at its relaxed geometry (PBE, Alexandria via LeMat-Bulk).

Lattice parameters (Å, degrees): 5.0342 6.0962 10.8475 101.06 90.01 114.35
Closest atoms and distances in Å follow each position.
Space group P-1 (No. 2)
Unique sites:
1 Cs 0.1712 0.3414 0.1188 [2 per cell]  3 Bi 3.82-4.26, 3 Cs 4.11-4.24, 2 Sr 4.23
2 Sr 0.3904 0.7814 0.5870 [2 per cell]  1 Sr 3.37, 3 Bi 3.38-3.55
3 Bi 0.1169 0.2346 0.6770 [2 per cell]  3 Sr 3.38-3.55

Values from the calculation:
Formation energy = -1.54 eV/f.u.
Density of states at the Fermi level = 0.44 states/eV/cell
Size of the total moment = 0.00 μB/f.u.
E = -2.654 eV/atom



Entry 5:
# Zn3GaAu4

Crystalline Zn3GaAu4 at its relaxed geometry (PBE, Alexandria via LeMat-Bulk).

Lattice parameters (Å, degrees): 13.7713 4.5093 4.5051 90.00 108.88 90.00
Closest atoms and distances in Å follow each position.
Space group C2/m (No. 12)
Unique sites:
1 Zn 0.0000 0.0000 0.0000 [2 per cell]  8 Au 2.78-2.80
2 Zn 0.2480 0.0000 0.2487 [4 per cell]  8 Au 2.75-2.78
3 Ga 0.0000 0.5000 0.5000 [2 per cell]  8 Au 2.79-2.80
4 Au 0.1267 0.0000 0.6275 [4 per cell]  6 Zn 2.75-2.80, 2 Ga 2.79
5 Au 0.1267 0.5000 0.1266 [4 per cell]  6 Zn 2.75-2.79, 2 Ga 2.79-2.80

Values from the calculation:
Formation energy = -1.34 eV/f.u.
Density of states at the Fermi level = 4.98 states/eV/cell
Size of the total moment = 0.00 μB/f.u.
E = -2.662 eV/atom



Entry 6:
# RbGa3Te

Crystalline RbGa3Te at its relaxed geometry (PBE, Alexandria via LeMat-Bulk).

Lattice parameters (Å, degrees): 5.9837 5.9837 5.9837 90.00 90.00 90.00
Closest atoms and distances in Å follow each position.
Space group Pm-3m (No. 221)
Unique sites:
1 Rb 0.0000 0.0000 0.0000 [1 per cell]  6 Ga 2.99
2 Ga 0.0000 0.0000 0.5000 [3 per cell]  2 Rb 2.99
3 Te 0.5000 0.5000 0.5000 [1 per cell]  12 Ga 4.23

Values from the calculation:
Formation energy from raw total energies = 0.95 eV/atom
Density of states at the Fermi level = 3.17 states/eV/cell
Size of the total moment = 0.00 μB/f.u.
E = -1.691 eV/atom
Energy above the lowest structure with this stoichiometry = 653.3 meV per atom



Entry 7:
# KSbTe2O

Crystalline KSbTe2O at its relaxed geometry (PBE, Alexandria via LeMat-Bulk).

Lattice parameters (Å, degrees): 6.0464 6.0464 6.1094 90.00 90.00 90.00
Closest atoms and distances in Å follow each position.
Space group P4/mmm (No. 123)
Unique sites:
1 K 0.0000 0.0000 0.0000 [1 per cell]  4 Te 3.02, 2 Sb 3.05
2 Sb 0.0000 0.0000 0.5000 [1 per cell]  2 K 3.05
3 Te 0.0000 0.5000 0.0000 [2 per cell]  2 K 3.02
4 O 0.5000 0.5000 0.5000 [1 per cell]  4 Sb 4.28, 8 Te 4.30

Values from the calculation:
Formation energy from raw total energies = 1.42 eV/atom
Density of states at the Fermi level = 11.74 states/eV/cell
Size of the total moment = 1.72 μB/f.u.
E = -1.875 eV/atom
Energy above the lowest structure with this stoichiometry = 1627.1 meV per atom



Entry 8:
# BeFeNi

Crystalline BeFeNi at its relaxed geometry (PBE, Alexandria via LeMat-Bulk).

Lattice parameters (Å, degrees): 5.2652 5.2652 5.2652 90.00 90.00 90.00
Closest atoms and distances in Å follow each position.
Space group F-43m (No. 216)
Unique sites:
1 Be 0.0000 0.0000 0.0000 [4 per cell]  4 Fe 2.28
2 Fe 0.2500 0.2500 0.7500 [4 per cell]  4 Ni 2.28, 4 Be 2.28
3 Ni 0.0000 0.0000 0.5000 [4 per cell]  4 Fe 2.28

Values from the calculation:
Formation energy = 1.38 eV/f.u.
Density of states at the Fermi level = 11.86 states/eV/cell
Size of the total moment = 2.64 μB/f.u.
E = -5.531 eV/atom
Energy above the lowest structure with this stoichiometry = 687.4 meV per atom